A plane-wave DFT calculation with GGA-PBE was carried out for a relaxed structure of B3AsBr.

Values from the calculation:
polymorph energy (0 for the lowest one): 0.000 eV/atom
VASP energy: -3.4030 eV/atom
DOS at the Fermi energy: 2.26 states/eV/f.u.
raw formation energy: 9.340 eV per formula unit

Lattice parameters (Å, degrees): 4.2945 4.2945 4.2945 90.00 90.00 90.00
Space group Pm-3m (No. 221)
Asymmetric unit:
1 B 0.0000 0.0000 0.5000 (multiplicity 3)
2 As 0.0000 0.0000 0.0000 (multiplicity 1)
3 Br 0.5000 0.5000 0.5000 (multiplicity 1)

A plane-wave DFT calculation with GGA-PBE was carried out for a relaxed structure of BaTcTe2.

Values from the calculation:
polymorph energy (0 for the lowest one): 0.281 eV/atom
VASP energy: -4.8729 eV/atom
DOS at the Fermi energy: 4.21 states/eV/f.u.
raw formation energy: -0.919 eV per formula unit

Lattice parameters (Å, degrees): 12.4592 4.0351 6.1629 90.00 94.58 90.00
Space group Cm (No. 8)
Asymmetric unit:
1 Ba 0.0000 0.0000 0.0000 (multiplicity 2)
2 Tc 0.3545 0.5000 0.4273 (multiplicity 2)
3 Te 0.2747 0.0000 0.1548 (multiplicity 2)
4 Te 0.4995 0.0000 0.5422 (multiplicity 2)

A plane-wave DFT calculation with GGA-PBE was carried out for a relaxed structure of B.

Values from the calculation:
polymorph energy (0 for the lowest one): 0.467 eV/atom
VASP energy: -6.2101 eV/atom
DOS at the Fermi energy: 0.22 states/eV/f.u.

Lattice parameters (Å, degrees): 4.9436 4.9436 2.6430 90.00 90.00 90.00
Space group P4_2/mnm (No. 136)
Asymmetric unit:
1 B 0.1206 0.1206 0.0000 (multiplicity 4)
2 B 0.2217 0.7783 0.0000 (multiplicity 4)

Q: The highest VASP energy belongs to which entry?
A: B3AsBr